Entry from Alexandria via LeMat-Bulk: a PBEsol-optimized structure of Sc2TaFe (meta-GGA SCAN).

Results
Relative energy among the computed polymorphs = 201 meV per atom

Cell: 3.058 4.136 5.736 Å, 90.00 103.76 90.00°
Last column: magnetic moment on the atom in μB.
Positions (direct):
Sc 0.055 0.000 0.968  0.21
Sc 0.761 0.500 0.276  0.13
Ta 0.426 0.000 0.533  0.25
Fe 0.258 0.500 0.722  -1.64


Entry from Alexandria via LeMat-Bulk: a PBEsol-optimized structure of Sc2TaFe (meta-GGA SCAN).

Results
Relative energy among the computed polymorphs = 0 meV per atom

Cell: 3.058 3.058 7.674 Å, 90.00 90.00 90.00°
Last column: magnetic moment on the atom in μB.
Positions (direct):
Sc 0.000 0.000 0.938  -0.25
Sc 0.500 0.500 0.283  0.04
Ta 0.000 0.000 0.548  -0.23
Fe 0.500 0.500 0.731  1.24


Entry from Alexandria via LeMat-Bulk: a PBEsol-optimized structure of Sc2FeTc (meta-GGA SCAN).

Cell: 2.850 4.089 5.439 Å, 90.00 98.67 90.00°
Last column: magnetic moment on the atom in μB.
Positions (direct):
Sc 0.750 0.000 0.747  -0.24
Sc 0.250 0.000 0.253  -0.24
Tc 0.500 0.500 0.000  -0.03
Fe 0.000 0.500 0.500  2.04


Entry from Alexandria via LeMat-Bulk: a PBEsol-optimized structure of ScFeTc (meta-GGA SCAN).

Results
Relative energy among the computed polymorphs = 202 meV per atom

Cell: 4.071 4.071 4.071 Å, 60.00 60.00 60.00°
Positions (direct):
Fe 0.250 0.250 0.250
Tc 0.500 0.500 0.500
Sc 0.000 0.000 0.000


Entry from Alexandria via LeMat-Bulk: a PBEsol-optimized structure of Sc2FeTc (meta-GGA SCAN).

Cell: 4.413 4.413 4.413 Å, 60.00 60.00 60.00°
Positions (direct):
Sc 0.750 0.750 0.750
Sc 0.000 0.000 0.000
Tc 0.250 0.250 0.250
Fe 0.500 0.500 0.500


Entry from Alexandria via LeMat-Bulk: a PBEsol-optimized structure of Sc2FeTc (meta-GGA SCAN).

Cell: 2.843 5.003 5.003 Å, 109.76 101.61 101.61°
Last column: magnetic moment on the atom in μB.
Positions (direct):
Sc 0.000 0.000 0.500  -0.24
Sc 0.000 0.500 0.000  -0.24
Fe 0.500 0.500 0.500  2.01
Tc 0.500 0.000 0.000  -0.01


Entry from Alexandria via LeMat-Bulk: a PBEsol-optimized structure of Sc2FeTc (meta-GGA SCAN).

Cell: 3.734 3.734 5.280 Å, 110.71 110.71 90.00°
Last column: magnetic moment on the atom in μB.
Positions (direct):
Fe 0.250 0.750 0.500  2.44
Sc 0.750 0.250 0.500  -0.23
Sc 0.000 0.000 0.000  -0.14
Tc 0.500 0.500 0.000  0.23


Entry from Alexandria via LeMat-Bulk: a PBEsol-optimized structure of Sc2FeTc (meta-GGA SCAN).

Cell: 2.951 2.951 9.131 Å, 80.70 80.70 60.00°
Last column: magnetic moment on the atom in μB.
Positions (direct):
Sc 0.987 0.987 0.038  -0.30
Sc 0.761 0.761 0.717  -0.08
Tc 0.510 0.510 0.471  -0.15
Fe 0.242 0.242 0.273  2.50


no.,DOS(E_F) (states/eV/atom),energy relative to the elements (eV/atom)
1,1.04,0.20
2,0.95,0.00
3,0.76,0.12
4,0.97,0.34
5,1.03,0.22
6,0.79,0.12
7,1.04,0.08
8,0.77,0.28